Record 1
{
  "formula": "TlIn6Pb4",
  "functional": "PBE-GGA",
  "state": "optimized geometry",
  "lattice": [[7.205, -2.959, -5.389], [-5.017, 7.784, 1.985], [-1.908, 2.959, 8.792]],
  "species": ["In", "In", "In", "In", "In", "In", "Pb", "Pb", "Pb", "Pb", "Tl"],
  "fractional_positions": [[0.500, 0.000, 0.500], [0.000, 0.802, 0.438], [0.364, 0.562, 0.562], [0.636, 0.198, 0.198], [0.500, 0.500, 0.000], [0.000, 0.438, 0.802], [0.597, 0.989, 0.989], [0.000, 0.608, 0.011], [0.403, 0.392, 0.392], [0.000, 0.011, 0.608], [0.000, 0.000, 0.000]],
  "relative_energy_ev_per_atom": 0.011,
  "mass_density_kg_m3": 8630,
  "delta_e_f_mev_per_atom": 72,
  "space_group": "I-42m (121)"
}

=====

Record 2
{
  "formula": "KNa2ZnSn",
  "functional": "PBE-GGA",
  "state": "optimized geometry",
  "lattice": [[-0.551, -5.190, 2.448], [2.950, 1.853, 4.593], [-4.437, 1.525, 2.235]],
  "species": ["Sn", "K", "Na", "Na", "Zn"],
  "fractional_positions": [[0.000, 0.000, 0.500], [0.500, 0.500, 0.500], [0.000, 0.500, 0.000], [0.500, 0.000, 0.000], [0.000, 0.000, 0.000]],
  "relative_energy_ev_per_atom": 0.000,
  "mass_density_kg_m3": 2588,
  "delta_e_f_mev_per_atom": 2,
  "space_group": "P4/mmm (123)"
}

=====

Record 3
{
  "formula": "Ce6SbIr",
  "functional": "PBE-GGA",
  "state": "optimized geometry",
  "lattice": [[6.196, 0.564, -0.140], [-1.782, 5.961, -0.140], [-0.987, -1.459, 6.060]],
  "species": ["Ir", "Ce", "Ce", "Ce", "Ce", "Ce", "Ce", "Sb"],
  "fractional_positions": [[0.500, 0.500, 0.500], [0.827, 0.414, 0.813], [0.586, 0.173, 0.187], [0.173, 0.586, 0.187], [0.820, 0.820, 0.406], [0.180, 0.180, 0.594], [0.414, 0.827, 0.813], [0.000, 0.000, 0.000]],
  "mass_density_kg_m3": 8425,
  "raw_formation_energy_kj_per_mol_atoms": -32,
  "space_group": "C2/m (12)"
}

=====

Record 4
{
  "formula": "BaMgCoNi2",
  "functional": "PBE-GGA",
  "state": "optimized geometry",
  "lattice": [[4.714, 0.000, 0.000], [0.000, 4.712, 0.000], [0.000, 0.000, 4.714]],
  "species": ["Ni", "Ni", "Co", "Ba", "Mg"],
  "fractional_positions": [[0.000, 0.000, 0.500], [0.500, 0.000, 0.000], [0.000, 0.500, 0.000], [0.500, 0.500, 0.500], [0.000, 0.000, 0.000]],
  "mass_density_kg_m3": 5360,
  "delta_e_f_mev_per_atom": 753,
  "space_group": "P4/mmm (123)"
}

=====

Record 5
{
  "formula": "Th4HgAu7",
  "functional": "PBE-GGA",
  "state": "optimized geometry",
  "lattice": [[5.222, 0.000, 0.000], [2.611, 8.345, 0.889], [2.611, 0.997, 7.170]],
  "species": ["Au", "Au", "Au", "Au", "Au", "Au", "Au", "Th", "Th", "Th", "Th", "Hg"],
  "fractional_positions": [[0.814, 0.939, 0.433], [0.665, 0.451, 0.219], [0.335, 0.549, 0.781], [0.186, 0.061, 0.567], [0.910, 0.357, 0.823], [0.500, 0.000, 0.000], [0.090, 0.643, 0.177], [0.271, 0.284, 0.174], [0.729, 0.716, 0.826], [0.569, 0.244, 0.617], [0.431, 0.756, 0.383], [0.000, 0.000, 0.000]],
  "mass_density_kg_m3": 13526,
  "delta_e_f_mev_per_atom": -476,
  "space_group": "C2/m (12)"
}

=====

Record 6
{
  "formula": "SrZr2TeOs",
  "functional": "PBE-GGA",
  "state": "optimized geometry",
  "lattice": [[-1.885, 4.484, 2.224], [-3.874, -0.081, -3.122], [-2.777, -2.914, 3.522]],
  "species": ["Zr", "Zr", "Te", "Sr", "Os"],
  "fractional_positions": [[0.000, 0.000, 0.500], [0.500, 0.000, 0.000], [0.000, 0.000, 0.000], [0.500, 0.500, 0.500], [0.000, 0.500, 0.000]],
  "mass_density_kg_m3": 6858,
  "raw_formation_energy_kj_per_mol_atoms": 75,
  "space_group": "P4/mmm (123)"
}

=====

Record 7
{
  "formula": "Sm3Dy5Tl2",
  "functional": "PBE-GGA",
  "state": "optimized geometry",
  "lattice": [[6.469, 0.000, 0.000], [3.234, 9.821, -2.235], [3.234, 0.451, 10.062]],
  "species": ["Dy", "Dy", "Dy", "Dy", "Dy", "Dy", "Dy", "Dy", "Dy", "Dy", "Sm", "Sm", "Sm", "Sm", "Sm", "Sm", "Tl", "Tl", "Tl", "Tl"],
  "fractional_positions": [[0.619, 0.217, 0.545], [0.119, 0.545, 0.217], [0.003, 0.747, 0.747], [0.250, 0.500, 0.500], [0.381, 0.783, 0.455], [0.503, 0.747, 0.747], [0.997, 0.253, 0.253], [0.750, 0.500, 0.500], [0.881, 0.455, 0.783], [0.497, 0.253, 0.253], [0.119, 0.118, 0.645], [0.750, 0.000, 0.000], [0.250, 0.000, 0.000], [0.881, 0.882, 0.355], [0.381, 0.355, 0.882], [0.619, 0.645, 0.118], [0.134, 0.720, 0.011], [0.366, 0.989, 0.280], [0.866, 0.280, 0.989], [0.634, 0.011, 0.720]],
  "mass_density_kg_m3": 8601,
  "delta_e_f_mev_per_atom": 100,
  "space_group": "Ibam (72)"
}

=====

Record 8
{
  "formula": "TlCdAg2",
  "functional": "PBE-GGA",
  "state": "optimized geometry",
  "lattice": [[-0.597, 6.798, 2.444], [1.792, -3.990, 2.836], [2.772, 1.546, 0.474]],
  "species": ["Tl", "Ag", "Ag", "Cd"],
  "fractional_positions": [[0.500, 0.500, 0.000], [0.000, 0.000, 0.000], [0.500, 0.000, 0.500], [0.000, 0.500, 0.500]],
  "relative_energy_ev_per_atom": 0.036,
  "mass_density_kg_m3": 10377,
  "delta_e_f_mev_per_atom": 94,
  "space_group": "C2/m (12)"
}

=====

Record 9
{
  "formula": "CsVS3",
  "functional": "PBE-GGA",
  "state": "optimized geometry",
  "lattice": [[25.690, 0.000, -6.526], [0.000, 6.504, 0.000], [-10.091, 0.000, 6.680]],
  "species": ["S", "S", "S", "S", "S", "S", "S", "S", "S", "S", "S", "S", "V", "V", "V", "V", "Cs", "Cs", "Cs", "Cs"],
  "fractional_positions": [[0.895, 0.295, 0.316], [0.872, 0.737, 0.445], [0.105, 0.705, 0.684], [0.811, 0.246, 0.689], [0.311, 0.254, 0.189], [0.128, 0.263, 0.555], [0.689, 0.746, 0.811], [0.372, 0.763, 0.945], [0.605, 0.795, 0.184], [0.395, 0.205, 0.816], [0.189, 0.754, 0.311], [0.628, 0.237, 0.055], [0.878, 0.640, 0.293], [0.122, 0.360, 0.707], [0.622, 0.140, 0.207], [0.378, 0.860, 0.793], [0.043, 0.253, 0.907], [0.457, 0.753, 0.593], [0.543, 0.247, 0.407], [0.957, 0.747, 0.093]],
  "relative_energy_ev_per_atom": 0.034,
  "mass_density_kg_m3": 2705,
  "raw_formation_energy_kj_per_mol_atoms": -92,
  "space_group": "P2_1/c (14)"
}

=====

Record 10
{
  "formula": "LuGaCu",
  "functional": "PBE-GGA",
  "state": "optimized geometry",
  "lattice": [[4.389, 0.000, 0.000], [2.194, 3.801, 0.000], [2.194, 1.267, 3.583]],
  "species": ["Ga", "Cu", "Lu"],
  "fractional_positions": [[0.500, 0.500, 0.500], [0.250, 0.250, 0.250], [0.000, 0.000, 0.000]],
  "mass_density_kg_m3": 8563,
  "delta_e_f_mev_per_atom": -343,
  "space_group": "F-43m (216)"
}

=====

Record 11
{
  "formula": "Mg14CrSb",
  "functional": "PBE-GGA",
  "state": "optimized geometry",
  "lattice": [[-3.558, 3.765, 3.689], [-2.275, -5.524, -2.179], [3.613, -4.789, 8.372]],
  "species": ["Mg", "Mg", "Mg", "Mg", "Mg", "Mg", "Mg", "Mg", "Mg", "Mg", "Mg", "Mg", "Mg", "Mg", "Cr", "Sb"],
  "fractional_positions": [[0.670, 0.330, 0.256], [0.335, 0.166, 0.500], [0.165, 0.835, 0.248], [0.333, 0.667, 0.000], [0.333, 0.169, 0.000], [0.670, 0.330, 0.744], [0.162, 0.327, 0.256], [0.165, 0.835, 0.752], [0.673, 0.838, 0.256], [0.162, 0.327, 0.744], [0.673, 0.838, 0.744], [0.833, 0.167, 0.000], [0.834, 0.665, 0.500], [0.831, 0.667, 0.000], [0.832, 0.168, 0.500], [0.330, 0.670, 0.500]],
  "mass_density_kg_m3": 2387,
  "raw_formation_energy_kj_per_mol_atoms": 3,
  "space_group": "Amm2 (38)"
}

=====

Record 12
{
  "formula": "HfGaP2Cl",
  "functional": "PBE-GGA",
  "state": "optimized geometry",
  "lattice": [[-0.288, 1.163, -4.857], [-4.804, -1.395, -0.050], [-1.392, 4.751, 1.220]],
  "species": ["Hf", "Cl", "P", "P", "Ga"],
  "fractional_positions": [[0.000, 0.000, 0.000], [0.000, 0.000, 0.500], [0.000, 0.500, 0.000], [0.500, 0.000, 0.000], [0.500, 0.500, 0.500]],
  "relative_energy_ev_per_atom": 0.000,
  "mass_density_kg_m3": 4498,
  "raw_formation_energy_kj_per_mol_atoms": -19,
  "space_group": "P4/mmm (123)"
}